(1)
Li2Ca2TbMg5 | the Alexandria database | PBE | relaxed; E_form = -0.047 eV/atom; space group = P4/mbm (127)
1.0
4.3813 0.0000 0.0000
0.0000 10.9816 0.0000
0.0000 0.0000 10.9816
Li Ca Tb Mg
4 4 2 10
Direct
0.0000 0.1161 0.6161
0.0000 0.8839 0.3839
0.0000 0.6161 0.8839
0.0000 0.3839 0.1161
0.0000 0.6809 0.1809
0.0000 0.3191 0.8191
0.0000 0.1809 0.3191
0.0000 0.8191 0.6809
0.0000 0.0000 0.0000
0.0000 0.5000 0.5000
0.5000 0.2127 0.0607
0.5000 0.7873 0.9393
0.5000 0.0607 0.7873
0.5000 0.7127 0.4393
0.5000 0.9393 0.2127
0.5000 0.2873 0.5607
0.5000 0.5607 0.7127
0.5000 0.4393 0.2873
0.5000 0.5000 0.0000
0.5000 0.0000 0.5000

=====

(2)
Tl2CrPb | the Alexandria database | PBE | relaxed; E_form = 0.378 eV/atom; space group = Imm2 (44)
1.0
-5.9000 -4.4207 -0.7728
-1.2873 -6.1639 -3.9114
3.6062 4.1024 5.0115
Cr Pb Tl
1 1 2
Direct
0.5003 0.5003 0.0000
0.3140 0.8140 0.5000
0.9979 0.9979 0.0000
0.6879 0.1879 0.5000

=====

(3)
Zn3Pt4 | the Alexandria database | PBE | relaxed; E_form = -0.129 eV/atom; space group = P6/mmm (191)
1.0
2.4207 -4.1928 0.0000
2.4207 4.1928 0.0000
0.0000 0.0000 5.1894
Zn Pt
3 4
Direct
0.0000 0.5000 0.0000
0.5000 0.5000 0.0000
0.5000 0.0000 0.0000
0.0000 0.0000 0.2550
0.0000 0.0000 0.7450
0.6667 0.3333 0.5000
0.3333 0.6667 0.5000

=====

(4)
InHgTe | the Alexandria database | PBE | relaxed; space group = Cmc2_1 (36); raw formation energy = -0.162 eV per atom
1.0
-0.1297 -3.8444 2.0489
-1.1315 -1.9381 -3.7081
11.4407 -0.7013 -0.5915
In Hg Te
2 2 2
Direct
0.1464 0.6902 0.3804
0.6464 0.3098 0.6196
0.1313 0.5512 0.1024
0.6313 0.4488 0.8976
0.6460 0.1738 0.3477
0.1460 0.8262 0.6523

=====

(5)
CeSi3Ru | the Alexandria database | PBE | relaxed; space group = Pnma (62); raw formation energy = -0.651 eV per atom
1.0
4.0927 0.0000 0.0000
0.0000 8.0601 0.0000
0.0000 0.0000 10.5792
Ce Si Ru
4 12 4
Direct
0.7500 0.8102 0.0281
0.2500 0.6898 0.5281
0.7500 0.3102 0.4719
0.2500 0.1898 0.9719
0.2500 0.5582 0.0753
0.7500 0.4418 0.9247
0.2500 0.0582 0.4247
0.7500 0.9418 0.5753
0.2500 0.3751 0.6787
0.7500 0.1249 0.1787
0.2500 0.8751 0.8213
0.7500 0.6062 0.7144
0.2500 0.3938 0.2856
0.7500 0.1062 0.7856
0.7500 0.6249 0.3213
0.2500 0.8938 0.2144
0.2500 0.0804 0.6579
0.2500 0.5804 0.8421
0.7500 0.4196 0.1579
0.7500 0.9196 0.3421

=====

(6)
TcSbTe2 | the Alexandria database | PBE | relaxed; space group = Cm (8); raw formation energy = 0.074 eV per atom
1.0
5.1279 0.0045 0.0196
4.0678 3.1222 0.0196
2.6604 0.9046 6.8611
Sb Tc Te
1 1 2
Direct
0.4404 0.4404 0.6260
0.7252 0.7252 0.6239
0.0747 0.0747 0.9393
0.2598 0.2598 0.3108

=====

(7)
Cd4Fe | the Alexandria database | PBE | relaxed; E_form = 0.520 eV/atom; space group = I4/mmm (139)
1.0
-1.9484 1.9484 7.2966
1.9484 -1.9484 7.2966
1.9484 1.9484 -7.2966
Cd Fe
4 1
Direct
0.2500 0.7500 0.5000
0.5920 0.5920 0.0000
0.4080 0.4080 0.0000
0.7500 0.2500 0.5000
0.0000 0.0000 0.0000

=====

(8)
CrCoGePdS | the Alexandria database | PBE | relaxed; space group = Pm (6); raw formation energy = -0.220 eV per atom
1.0
3.2944 0.0000 -0.0904
0.0000 3.1001 0.0000
-1.4524 0.0000 6.9375
Cr Ge Co S Pd
1 1 1 1 1
Direct
0.7017 0.5000 0.9338
0.8950 0.5000 0.3190
0.3132 0.0000 0.1590
0.1534 0.0000 0.8347
0.5129 0.0000 0.5388

=====

(9)
NdY2Zn2 | the Alexandria database | PBE | relaxed; E_form = -0.168 eV/atom; space group = P2_1/m (11)
1.0
4.4967 0.0000 0.0000
0.0000 4.5257 -0.1533
0.0000 -1.3999 13.0430
Nd Y Zn
2 4 4
Direct
0.2500 0.6481 0.2715
0.7500 0.3519 0.7285
0.2500 0.9400 0.8907
0.7500 0.0600 0.1093
0.2500 0.2605 0.5232
0.7500 0.7395 0.4768
0.2500 0.8189 0.6620
0.7500 0.1811 0.3380
0.2500 0.5055 0.0459
0.7500 0.4945 0.9541

=====

(10)
NbBi2I | the Alexandria database | PBE | relaxed; space group = Fm-3m (225); raw formation energy = 0.802 eV per atom
1.0
0.0000 3.8007 3.8007
3.8007 0.0000 3.8007
3.8007 3.8007 0.0000
I Nb Bi
1 1 2
Direct
0.5000 0.5000 0.5000
0.0000 0.0000 0.0000
0.2500 0.2500 0.2500
0.7500 0.7500 0.7500

=====

(11)
VAsRu3 | the Alexandria database | PBE | relaxed; E_form = 1.184 eV/atom; space group = Pm-3m (221)
1.0
4.4655 0.0000 0.0000
0.0000 4.4655 0.0000
0.0000 0.0000 4.4655
Ru As V
3 1 1
Direct
0.0000 0.5000 0.0000
0.0000 0.0000 0.5000
0.5000 0.0000 0.0000
0.5000 0.5000 0.5000
0.0000 0.0000 0.0000

=====

(12)
Tb2NdY2Ho | the Alexandria database | PBE | relaxed; E_form = 0.287 eV/atom; space group = Pnnm (58)
1.0
3.3850 0.0000 0.0000
0.0000 6.6953 0.0000
0.0000 0.0000 17.6092
Tb Nd Y Ho
4 2 4 2
Direct
0.5000 0.2600 0.3256
0.0000 0.7600 0.1744
0.5000 0.7400 0.6744
0.0000 0.2400 0.8256
0.0000 0.0000 0.0000
0.5000 0.5000 0.5000
0.5000 0.7651 0.3453
0.5000 0.2349 0.6547
0.0000 0.7349 0.8453
0.0000 0.2651 0.1547
0.5000 0.5000 0.0000
0.0000 0.0000 0.5000

=====

Number 1: density of states at the Fermi level 15.561 states/eV per cell, raw total energy -2.091 eV per atom. Number 2: density of states at the Fermi level 2.197 states/eV per cell, raw total energy -4.138 eV per atom. Number 3: density of states at the Fermi level 5.148 states/eV per cell, raw total energy -4.127 eV per atom. Number 4: density of states at the Fermi level 1.237 states/eV per cell, raw total energy -2.223 eV per atom. Number 5: density of states at the Fermi level 10.903 states/eV per cell, raw total energy -6.947 eV per atom. Number 6: density of states at the Fermi level 2.350 states/eV per cell, raw total energy -5.119 eV per atom. Number 7: density of states at the Fermi level 5.489 states/eV per cell, raw total energy -1.904 eV per atom. Number 8: density of states at the Fermi level 3.500 states/eV per cell, raw total energy -6.353 eV per atom. Number 9: density of states at the Fermi level 11.077 states/eV per cell, raw total energy -4.217 eV per atom. Number 10: density of states at the Fermi level 6.200 states/eV per cell, raw total energy -4.043 eV per atom. Number 11: density of states at the Fermi level 6.569 states/eV per cell, raw total energy -7.135 eV per atom. Number 12: density of states at the Fermi level 22.673 states/eV per cell, raw total energy -4.968 eV per atom.